VASP calculation (PBE) on a geometry-optimized Ba2Tl5In3 structure.

Calculated values
calculated volume: 33.7 A^3/atom
uncorrected energy: -26.50 eV/cell
size of the total moment: 0.00 μB/f.u.
symmetry: P-4m2 (115)
ΔE to the lowest computed polymorph: 0.000 eV/atom
formation energy: -0.26 eV/atom

Structure (POSCAR):
```
Ba2Tl5In3
1.0
5.252 0.000 0.000
0.000 5.252 0.000
0.000 0.000 12.198
Ba Tl In
2 5 3
Direct
0.000 0.500 0.242
0.500 0.000 0.758
0.000 0.000 0.500
0.000 0.500 0.637
0.500 0.000 0.363
0.500 0.500 0.000
0.500 0.500 0.500
0.000 0.000 0.000
0.000 0.500 0.876
0.500 0.000 0.124
```

***

VASP calculation (PBE) on a geometry-optimized Ba2TlIn2 structure.

Calculated values
calculated volume: 37.4 A^3/atom
uncorrected energy: -27.49 eV/cell
size of the total moment: 0.00 μB/f.u.
symmetry: C2/m (12)
ΔE to the lowest computed polymorph: 0.000 eV/atom
formation energy: -0.41 eV/atom

Structure (POSCAR):
```
Ba2TlIn2
1.0
6.312 -2.627 0.000
6.312 2.627 0.000
-6.054 0.000 11.282
Ba Tl In
4 2 4
Direct
0.012 0.012 0.332
0.190 0.190 0.110
0.810 0.810 0.890
0.988 0.988 0.668
0.280 0.280 0.655
0.720 0.720 0.345
0.360 0.360 0.449
0.478 0.478 0.107
0.522 0.522 0.893
0.640 0.640 0.551
```

***

VASP calculation (PBE) on a geometry-optimized Ba2TlIn structure.

Calculated values
calculated volume: 38.3 A^3/atom
uncorrected energy: -10.36 eV/cell
size of the total moment: 0.00 μB/f.u.
symmetry: Imm2 (44)
formation energy: -0.35 eV/atom

Structure (POSCAR):
```
Ba2TlIn
1.0
-2.145 2.965 6.030
2.145 -2.965 6.030
2.145 2.965 -6.030
Ba Tl In
2 1 1
Direct
0.000 0.000 0.000
0.697 0.197 0.500
0.257 0.757 0.500
0.438 0.438 0.000
```

***

VASP calculation (PBE) on a geometry-optimized BaTl9In3 structure.

Calculated values
calculated volume: 31.6 A^3/atom
uncorrected energy: -32.38 eV/cell
size of the total moment: 0.00 μB/f.u.
symmetry: C2/m (12)
formation energy: -0.07 eV/atom

Structure (POSCAR):
```
BaTl9In3
1.0
3.103 -8.112 0.000
3.103 8.112 0.000
-2.839 0.000 8.153
Ba Tl In
1 9 3
Direct
0.000 0.000 0.000
0.000 0.000 0.500
0.001 0.642 0.646
0.289 0.502 0.791
0.358 0.999 0.354
0.498 0.711 0.209
0.502 0.289 0.791
0.642 0.001 0.646
0.711 0.498 0.209
0.999 0.358 0.354
0.000 0.500 0.000
0.500 0.000 0.000
0.500 0.500 0.500
```

***

VASP calculation (PBE) on a geometry-optimized Ba3Tl2In2 structure.

Calculated values
calculated volume: 40.2 A^3/atom
uncorrected energy: -18.71 eV/cell
size of the total moment: 0.00 μB/f.u.
symmetry: C2/m (12)
formation energy: -0.39 eV/atom

Structure (POSCAR):
```
Ba3Tl2In2
1.0
6.639 -2.418 0.000
6.639 2.418 0.000
-3.932 0.000 8.771
Ba Tl In
3 2 2
Direct
0.000 0.000 0.000
0.184 0.184 0.644
0.816 0.816 0.356
0.466 0.466 0.659
0.534 0.534 0.341
0.310 0.310 0.068
0.690 0.690 0.932
```

***

VASP calculation (PBE) on a geometry-optimized BaTl8In6 structure.

Calculated values
calculated volume: 33.3 A^3/atom
uncorrected energy: -37.11 eV/cell
size of the total moment: 0.00 μB/f.u.
symmetry: R-3 (148)
formation energy: 0.01 eV/atom

Structure (POSCAR):
```
BaTl8In6
1.0
4.711 2.720 6.501
-4.711 2.720 6.501
0.000 -5.440 6.501
Ba Tl In
1 8 6
Direct
0.000 0.000 0.000
0.120 0.783 0.430
0.217 0.570 0.880
0.339 0.339 0.339
0.430 0.120 0.783
0.570 0.880 0.217
0.661 0.661 0.661
0.783 0.430 0.120
0.880 0.217 0.570
0.051 0.425 0.706
0.294 0.949 0.575
0.425 0.706 0.051
0.575 0.294 0.949
0.706 0.051 0.425
0.949 0.575 0.294
```

***

VASP calculation (PBE) on a geometry-optimized BaTlIn3 structure.

Calculated values
calculated volume: 32.0 A^3/atom
uncorrected energy: -14.00 eV/cell
size of the total moment: 0.00 μB/f.u.
symmetry: Cm (8)
ΔE to the lowest computed polymorph: 0.015 eV/atom
formation energy: -0.30 eV/atom

Structure (POSCAR):
```
BaTlIn3
1.0
3.564 -3.571 0.000
3.564 3.571 0.000
-3.529 0.000 6.297
Ba Tl In
1 1 3
Direct
0.000 0.000 0.000
0.612 0.612 0.223
0.248 0.750 0.499
0.378 0.378 0.758
0.750 0.248 0.499
```

***

VASP calculation (PBE) on a geometry-optimized Ba6Tl5In structure.

Calculated values
calculated volume: 39.7 A^3/atom
uncorrected energy: -30.91 eV/cell
size of the total moment: 0.00 μB/f.u.
symmetry: C2/m (12)
formation energy: -0.40 eV/atom

Structure (POSCAR):
```
Ba6Tl5In
1.0
9.597 -4.293 0.000
9.597 4.293 0.000
-1.872 0.000 5.781
Ba Tl In
6 5 1
Direct
0.083 0.584 0.334
0.249 0.751 0.000
0.416 0.917 0.666
0.584 0.083 0.334
0.751 0.249 0.000
0.917 0.416 0.666
0.166 0.166 0.166
0.333 0.333 0.833
0.500 0.500 0.500
0.667 0.667 0.167
0.834 0.834 0.834
0.000 0.000 0.500
```

***

VASP calculation (PBE) on a geometry-optimized BaTlVIn2 structure.

Calculated values
calculated volume: 40.0 A^3/atom
uncorrected energy: -11.86 eV/cell
size of the total moment: 0.00 μB/f.u.
symmetry: P4/mmm (123)
formation energy: 1.41 eV/atom

Structure (POSCAR):
```
BaTlVIn2
1.0
6.274 0.000 0.000
0.000 6.274 0.000
0.000 0.000 5.079
Ba Tl V In
1 1 1 2
Direct
0.000 0.000 0.000
0.500 0.500 0.500
0.000 0.000 0.500
0.000 0.500 0.000
0.500 0.000 0.000
```

***

VASP calculation (PBE) on a geometry-optimized BaYTlIn structure.

Calculated values
calculated volume: 32.9 A^3/atom
uncorrected energy: -14.69 eV/cell
size of the total moment: 0.00 μB/f.u.
symmetry: F-43m (216)
formation energy: -0.30 eV/atom

Structure (POSCAR):
```
BaYTlIn
1.0
0.000 4.037 4.037
4.037 0.000 4.037
4.037 4.037 0.000
Ba Y Tl In
1 1 1 1
Direct
0.000 0.000 0.000
0.500 0.500 0.500
0.250 0.250 0.250
0.750 0.750 0.750
```

***

VASP calculation (PBE) on a geometry-optimized BaTlZnIn structure.

Calculated values
calculated volume: 29.8 A^3/atom
uncorrected energy: -9.12 eV/cell
size of the total moment: 0.00 μB/f.u.
symmetry: F-43m (216)
formation energy: -0.20 eV/atom

Structure (POSCAR):
```
BaTlZnIn
1.0
0.000 3.904 3.904
3.904 0.000 3.904
3.904 3.904 0.000
Ba Tl Zn In
1 1 1 1
Direct
0.000 0.000 0.000
0.250 0.250 0.250
0.750 0.750 0.750
0.500 0.500 0.500
```

***

VASP calculation (PBE) on a geometry-optimized Ba2Tl6ZnIn structure.

Calculated values
calculated volume: 33.7 A^3/atom
uncorrected energy: -47.09 eV/cell
size of the total moment: 0.00 μB/f.u.
symmetry: R-3m (166)
formation energy: -0.15 eV/atom

Structure (POSCAR):
```
Ba2Tl6ZnIn
1.0
3.837 2.215 13.235
-3.837 2.215 13.235
0.000 -4.430 13.235
Ba Tl Zn In
4 12 2 2
Direct
0.109 0.109 0.109
0.281 0.281 0.281
0.719 0.719 0.719
0.891 0.891 0.891
0.083 0.663 0.663
0.219 0.219 0.659
0.219 0.659 0.219
0.337 0.337 0.917
0.337 0.917 0.337
0.341 0.781 0.781
0.659 0.219 0.219
0.663 0.083 0.663
0.663 0.663 0.083
0.781 0.341 0.781
0.781 0.781 0.341
0.917 0.337 0.337
0.000 0.000 0.000
0.500 0.500 0.500
0.426 0.426 0.426
0.574 0.574 0.574
```

***

VASP calculation (PBE) on a geometry-optimized Ba2TlZn3In4 structure.

Calculated values
calculated volume: 27.7 A^3/atom
uncorrected energy: -23.86 eV/cell
size of the total moment: 0.00 μB/f.u.
symmetry: P-4m2 (115)
formation energy: -0.29 eV/atom

Structure (POSCAR):
```
Ba2TlZn3In4
1.0
4.851 0.000 0.000
0.000 4.851 0.000
0.000 0.000 11.778
Ba Tl Zn In
2 1 3 4
Direct
0.000 0.500 0.247
0.500 0.000 0.753
0.000 0.000 0.500
0.000 0.500 0.873
0.500 0.000 0.127
0.500 0.500 0.500
0.000 0.000 0.000
0.000 0.500 0.643
0.500 0.000 0.357
0.500 0.500 0.000
```

***

VASP calculation (PBE) on a geometry-optimized Ba2ZrTlIn structure.

Calculated values
calculated volume: 43.9 A^3/atom
uncorrected energy: -14.96 eV/cell
size of the total moment: 0.00 μB/f.u.
symmetry: P4/mmm (123)
formation energy: 0.51 eV/atom

Structure (POSCAR):
```
Ba2ZrTlIn
1.0
6.233 0.000 0.000
0.000 6.233 0.000
0.000 0.000 5.646
Ba Zr Tl In
2 1 1 1
Direct
0.000 0.500 0.000
0.500 0.000 0.000
0.000 0.000 0.000
0.000 0.000 0.500
0.500 0.500 0.500
```

***

VASP calculation (PBE) on a geometry-optimized BaTm4In5 structure.

Calculated values
calculated volume: 27.9 A^3/atom
uncorrected energy: -37.63 eV/cell
size of the total moment: 0.00 μB/f.u.
symmetry: P4/mmm (123)
formation energy: -0.41 eV/atom

Structure (POSCAR):
```
BaTm4In5
1.0
3.814 0.000 0.000
0.000 3.814 0.000
0.000 0.000 19.206
Ba Tm In
1 4 5
Direct
0.000 0.000 0.000
0.000 0.000 0.220
0.000 0.000 0.407
0.000 0.000 0.593
0.000 0.000 0.780
0.500 0.500 0.129
0.500 0.500 0.315
0.500 0.500 0.500
0.500 0.500 0.685
0.500 0.500 0.871
```

***

VASP calculation (PBE) on a geometry-optimized Ba3TmIn4 structure.

Calculated values
calculated volume: 35.2 A^3/atom
uncorrected energy: -24.22 eV/cell
size of the total moment: 0.00 μB/f.u.
symmetry: P4/mmm (123)
formation energy: -0.38 eV/atom

Structure (POSCAR):
```
Ba3TmIn4
1.0
4.062 0.000 0.000
0.000 4.062 0.000
0.000 0.000 17.055
Ba Tm In
3 1 4
Direct
0.000 0.000 0.000
0.000 0.000 0.266
0.000 0.000 0.734
0.000 0.000 0.500
0.500 0.500 0.130
0.500 0.500 0.406
0.500 0.500 0.594
0.500 0.500 0.870
```

***

VASP calculation (PBE) on a geometry-optimized BaTm2In structure.

Calculated values
calculated volume: 34.1 A^3/atom
uncorrected energy: -13.16 eV/cell
size of the total moment: 0.19 μB/f.u.
symmetry: R-3m (166)
ΔE to the lowest computed polymorph: 0.193 eV/atom
formation energy: 0.11 eV/atom

Structure (POSCAR):
```
BaTm2In
1.0
1.812 1.046 12.003
-1.812 1.046 12.003
0.000 -2.092 12.003
Ba Tm In
1 2 1
Direct
0.000 0.000 0.000
0.100 0.100 0.100
0.900 0.900 0.900
0.500 0.500 0.500
```

***

VASP calculation (PBE) on a geometry-optimized BaTm2In4 structure.

Calculated values
calculated volume: 29.2 A^3/atom
uncorrected energy: -24.39 eV/cell
size of the total moment: 0.00 μB/f.u.
symmetry: Immm (71)
formation energy: -0.37 eV/atom

Structure (POSCAR):
```
BaTm2In4
1.0
-1.896 2.483 10.843
1.896 -2.483 10.843
1.896 2.483 -10.843
Ba Tm In
1 2 4
Direct
0.000 0.000 0.000
0.301 0.801 0.500
0.699 0.199 0.500
0.158 0.658 0.500
0.423 0.423 0.000
0.577 0.577 0.000
0.842 0.342 0.500
```

***

VASP calculation (PBE) on a geometry-optimized BaTm2In structure.

Calculated values
calculated volume: 34.1 A^3/atom
uncorrected energy: -13.93 eV/cell
size of the total moment: 0.00 μB/f.u.
symmetry: P4/mmm (123)
ΔE to the lowest computed polymorph: 0.000 eV/atom
formation energy: -0.08 eV/atom

Structure (POSCAR):
```
BaTm2In
1.0
3.690 0.000 0.000
0.000 3.690 0.000
0.000 0.000 10.018
Ba Tm In
1 2 1
Direct
0.000 0.000 0.000
0.500 0.500 0.309
0.500 0.500 0.691
0.000 0.000 0.500
```

***

VASP calculation (PBE) on a geometry-optimized BaV3In structure.

Calculated values
calculated volume: 29.9 A^3/atom
uncorrected energy: -25.91 eV/cell
size of the total moment: 11.64 μB/f.u.
symmetry: Pm-3m (221)
ΔE to the lowest computed polymorph: 0.000 eV/atom
formation energy: 1.22 eV/atom

Structure (POSCAR):
```
BaV3In
1.0
5.306 0.000 0.000
0.000 5.306 0.000
0.000 0.000 5.306
Ba V In
1 3 1
Direct
0.000 0.000 0.000
0.000 0.500 0.500
0.500 0.000 0.500
0.500 0.500 0.000
0.500 0.500 0.500
```

***

VASP calculation (PBE) on a geometry-optimized BaV2In structure.

Calculated values
calculated volume: 28.3 A^3/atom
uncorrected energy: -39.15 eV/cell
size of the total moment: 0.93 μB/f.u.
symmetry: I4_1/amd (141)
formation energy: 0.83 eV/atom

Structure (POSCAR):
```
BaV2In
1.0
-2.361 2.361 10.146
2.361 -2.361 10.146
2.361 2.361 -10.146
Ba V In
2 4 2
Direct
0.375 0.625 0.750
0.625 0.375 0.250
0.000 0.000 0.000
0.000 0.000 0.500
0.000 0.500 0.000
0.500 0.000 0.500
0.125 0.875 0.250
0.875 0.125 0.750
```

***

VASP calculation (PBE) on a geometry-optimized BaV3In structure.

Calculated values
calculated volume: 22.4 A^3/atom
uncorrected energy: -20.92 eV/cell
size of the total moment: 0.40 μB/f.u.
symmetry: Pm-3m (221)
ΔE to the lowest computed polymorph: 0.997 eV/atom
formation energy: 2.22 eV/atom

Structure (POSCAR):
```
BaV3In
1.0
4.821 0.000 0.000
0.000 4.821 0.000
0.000 0.000 4.821
Ba V In
1 3 1
Direct
0.000 0.000 0.000
0.000 0.000 0.500
0.000 0.500 0.000
0.500 0.000 0.000
0.500 0.500 0.500
```

***

VASP calculation (PBE) on a geometry-optimized Ba2VIn structure.

Calculated values
calculated volume: 35.8 A^3/atom
uncorrected energy: -26.75 eV/cell
size of the total moment: 3.12 μB/f.u.
symmetry: I-42d (122)
formation energy: 0.58 eV/atom

Structure (POSCAR):
```
Ba2VIn
1.0
-4.673 4.673 3.283
4.673 -4.673 3.283
4.673 4.673 -3.283
Ba V In
4 2 2
Direct
0.095 0.125 0.470
0.375 0.905 0.030
0.655 0.625 0.530
0.875 0.345 0.970
0.000 0.000 0.000
0.750 0.250 0.500
0.250 0.750 0.500
0.500 0.500 0.000
```

***

VASP calculation (PBE) on a geometry-optimized BaZr2VIn structure.

Calculated values
calculated volume: 28.4 A^3/atom
uncorrected energy: -27.16 eV/cell
size of the total moment: 0.00 μB/f.u.
symmetry: P4/mmm (123)
formation energy: 0.74 eV/atom

Structure (POSCAR):
```
BaZr2VIn
1.0
5.047 0.000 0.000
0.000 5.047 0.000
0.000 0.000 5.568
Ba Zr V In
1 2 1 1
Direct
0.000 0.000 0.000
0.000 0.500 0.500
0.500 0.000 0.500
0.000 0.000 0.500
0.500 0.500 0.000
```

***

VASP calculation (PBE) on a geometry-optimized BaInW2 structure.

Calculated values
calculated volume: 22.5 A^3/atom
uncorrected energy: -25.31 eV/cell
size of the total moment: 1.02 μB/f.u.
symmetry: I-4m2 (119)
formation energy: 1.31 eV/atom

Structure (POSCAR):
```
BaInW2
1.0
-2.513 2.513 3.564
2.513 -2.513 3.564
2.513 2.513 -3.564
Ba In W
1 1 2
Direct
0.000 0.000 0.000
0.250 0.750 0.500
0.500 0.500 0.000
0.750 0.250 0.500
```